# 1
CuTcMo2: optimized geometry, GGA-PBE. Values from VASP.

Values from the calculation:
relative energy among the computed polymorphs = 118 meV/atom
ΔE_f = 0.26 eV per atom
SG = P4/mmm (123)
mass density = 9.917 g/cm3

Structure (Quantum ESPRESSO input):
```
&SYSTEM
  ibrav = 0, nat = 4, ntyp = 3
/
ATOMIC_SPECIES
Mo 95.94 Mo.upf
Cu 63.55 Cu.upf
Tc 98.00 Tc.upf
CELL_PARAMETERS angstrom
2.7373 0.0000 0.0000
0.0000 2.7373 0.0000
0.0000 0.0000 7.8977
ATOMIC_POSITIONS crystal
Mo 0.0000 0.0000 0.5001
Mo 0.0000 0.0000 0.9999
Cu 0.5000 0.5000 0.7500
Tc 0.5000 0.5000 0.2500
```

# 2
YMn2Re: optimized geometry, GGA-PBE. Values from VASP.

Values from the calculation:
relative energy among the computed polymorphs = 160 meV/atom
ΔE_f = 0.31 eV per atom
SG = P4mm (99)
mass density = 9.853 g/cm3

Structure (Quantum ESPRESSO input):
```
&SYSTEM
  ibrav = 0, nat = 4, ntyp = 3
/
ATOMIC_SPECIES
Mn 54.94 Mn.upf
Re 186.21 Re.upf
Y 88.91 Y.upf
CELL_PARAMETERS angstrom
-2.0617 -1.3076 -1.8182
0.0689 -2.5072 1.7250
-5.1490 2.5925 3.9739
ATOMIC_POSITIONS crystal
Mn 0.5000 0.5000 0.2294
Mn 0.0000 0.0000 0.0817
Re 0.0000 0.0000 0.4367
Y 0.5000 0.5000 0.7522
```

What is the formula in the first record?
CuTcMo2